Record 1
VASP calculation (SCAN) on a PBEsol-optimized structure of TlAgOsI2.

Its formation energy (no corrections) is 1.296 eV per atom. The electronic total energy comes out at -3.566 Ry/atom. The total magnetic moment is 4.0 Bohr magnetons per cell.

Cell: 5.497 5.497 5.481 Å, 90.00 90.00 90.00°
Positions (direct):
I1 0.000 0.500 0.000
I2 0.500 0.000 0.000
Tl1 0.000 0.000 0.500
Os1 0.500 0.500 0.500
Ag1 0.000 0.000 0.000

---

Record 2
VASP calculation (SCAN) on a PBEsol-optimized structure of CsCoPd3.

For the energy relative to the elements, the calculation gives 9.5 eV/f.u. The electronic total energy comes out at -2.116 Ry/atom. The total magnetic moment is 2.4 Bohr magnetons per cell.

Cell: 5.082 5.082 5.082 Å, 90.00 90.00 90.00°
Positions (direct):
Cs1 0.000 0.000 0.000
Co1 0.500 0.500 0.500
Pd1 0.000 0.500 0.000
Pd2 0.000 0.000 0.500
Pd3 0.500 0.000 0.000

---

Record 3
VASP calculation (SCAN) on a PBEsol-optimized structure of BaCaPt2.

For the energy relative to the elements, the calculation gives -2.9 eV/f.u. The calculation puts the energy above the most stable polymorph in this dataset at 0.118 eV per atom. The electronic total energy comes out at -3.538 Ry/atom. The total magnetic moment is 0.0 Bohr magnetons per cell.

Cell: 3.575 5.163 5.163 Å, 90.00 90.00 90.00°
Positions (direct):
Ca1 0.500 0.000 0.000
Ba1 0.500 0.500 0.500
Pt1 0.000 0.000 0.500
Pt2 0.000 0.500 0.000